Crystalline La5Tb2Tm2 at its relaxed geometry. Source: Alexandria, functional PBE.

Values from the calculation:
Crystal system: orthorhombic
Energy above the most stable polymorph in this dataset in eV per formula unit: 1.29
ΔE_f in meV/atom: 168
Calculated total energy in eV/atom: -4.592

Lattice parameters (Å, degrees): 10.458 10.458 10.458 86.97 103.53 144.98
Atoms (fractional coordinates):
La 0.156 0.483 0.962
La 0.156 0.695 0.173
La 0.201 0.050 0.251
La 0.201 0.450 0.650
La 0.522 0.195 0.038
La 0.522 0.983 0.827
La 0.577 0.497 0.579
La 0.799 0.550 0.350
La 0.799 0.950 0.749
La 0.918 0.997 0.421
Tb 0.790 0.207 0.315
Tb 0.790 0.975 0.084
Tb 0.891 0.475 0.685
Tb 0.891 0.707 0.916
Tm 0.210 0.018 0.692
Tm 0.327 0.518 0.308
Tm 0.401 0.401 0.000
Tm 0.401 0.901 0.500

***

Crystalline LaTb6Tm12 at its relaxed geometry. Source: Alexandria, functional PBE.

Values from the calculation:
Crystal system: trigonal
Energy above the most stable polymorph in this dataset in eV per formula unit: 0.00
ΔE_f in meV/atom: 162
Calculated total energy in eV/atom: -4.384

Lattice parameters (Å, degrees): 8.469 8.469 8.469 88.46 88.46 88.46
Atoms (fractional coordinates):
La 0.000 0.000 0.000
Tb 0.088 0.680 0.255
Tb 0.255 0.088 0.680
Tb 0.320 0.745 0.912
Tb 0.680 0.255 0.088
Tb 0.745 0.912 0.320
Tb 0.912 0.320 0.745
Tm 0.007 0.220 0.351
Tm 0.220 0.351 0.007
Tm 0.230 0.453 0.563
Tm 0.351 0.007 0.220
Tm 0.437 0.770 0.547
Tm 0.453 0.563 0.230
Tm 0.547 0.437 0.770
Tm 0.563 0.230 0.453
Tm 0.649 0.993 0.780
Tm 0.770 0.547 0.437
Tm 0.780 0.649 0.993
Tm 0.993 0.780 0.649

***

Crystalline LaTb3Tm12 at its relaxed geometry. Source: Alexandria, functional PBE.

Values from the calculation:
Crystal system: tetragonal
ΔE_f in meV/atom: 29
Calculated total energy in eV/atom: -4.501

Lattice parameters (Å, degrees): 4.972 4.972 19.939 90.00 90.00 90.00
Atoms (fractional coordinates):
La 0.000 0.000 0.000
Tb 0.000 0.000 0.251
Tb 0.000 0.000 0.500
Tb 0.000 0.000 0.749
Tm 0.000 0.500 0.128
Tm 0.000 0.500 0.376
Tm 0.000 0.500 0.624
Tm 0.000 0.500 0.872
Tm 0.500 0.000 0.128
Tm 0.500 0.000 0.376
Tm 0.500 0.000 0.624
Tm 0.500 0.000 0.872
Tm 0.500 0.500 0.000
Tm 0.500 0.500 0.252
Tm 0.500 0.500 0.500
Tm 0.500 0.500 0.748

***

> Among the records above, which one has the highest ΔE_f?

La5Tb2Tm2